1.
DFT (PBE) results for an optimized crystal structure of TaFeCuSn.

a b c (Å): 6.201 6.201 6.201
angles (deg): 90.00 90.00 90.00
Space group F-43m (No. 216)
Asymmetric unit:
Ta (0.000, 0.000, 0.000)
Fe (0.250, 0.250, 0.250)
Cu (0.250, 0.250, 0.750)
Sn (0.000, 0.000, 0.500)

Computed properties:
total DFT energy (no corrections) = -110.87 eV per cell

2.
DFT (PBE) results for an optimized crystal structure of Nd2Dy2BCl5.

a b c (Å): 17.467 3.902 8.228
angles (deg): 90.00 103.24 90.00
Space group C2/m (No. 12)
Asymmetric unit:
Nd (0.001, 0.000, 0.279)
Dy (0.147, 0.500, 0.579)
B (0.000, 0.500, 0.500)
Cl (0.000, 0.500, 0.000)
Cl (0.169, 0.000, 0.817)
Cl (0.175, 0.000, 0.358)

Computed properties:
total DFT energy (no corrections) = -102.48 eV per cell

3.
DFT (PBE) results for an optimized crystal structure of NaTmFeTe3.

a b c (Å): 4.202 14.739 11.221
angles (deg): 90.00 90.00 90.00
Space group Cmcm (No. 63)
Asymmetric unit:
Na (0.000, 0.241, 0.250)
Tm (0.000, 0.000, 0.000)
Fe (0.000, 0.470, 0.750)
Te (0.000, 0.083, 0.750)
Te (0.000, 0.361, 0.566)

Computed properties:
total DFT energy (no corrections) = -112.34 eV per cell

4.
DFT (PBE) results for an optimized crystal structure of YAgPbSe3.

a b c (Å): 4.117 13.849 10.651
angles (deg): 90.00 90.00 90.00
Space group Cmcm (No. 63)
Asymmetric unit:
Y (0.000, 0.000, 0.000)
Ag (0.000, 0.467, 0.250)
Pb (0.000, 0.241, 0.750)
Se (0.000, 0.091, 0.250)
Se (0.000, 0.356, 0.051)

Computed properties:
total DFT energy (no corrections) = -117.02 eV per cell

| no. | size of the total moment (μB/cell) |
| --- | --- |
| 1 | 0.0 |
| 2 | 0.0 |
| 3 | 15.5 |
| 4 | 0.0 |